No. 1
A plane-wave DFT calculation with PBE was carried out for UPa4N5 after structural relaxation.

Cell: 6.0510 6.0510 6.0510 Å, 99.58 99.58 131.84°
Element x y z (fractional)
U (0.0000, 0.0000, 0.0000)
Pa (0.2005, 0.4003, 0.6008)
Pa (0.4003, 0.7995, 0.1998)
Pa (0.5997, 0.2005, 0.8002)
Pa (0.7995, 0.5997, 0.3992)
N (0.0994, 0.7015, 0.8009)
N (0.2985, 0.0994, 0.3980)
N (0.5000, 0.5000, 0.0000)
N (0.7015, 0.9006, 0.6020)
N (0.9006, 0.2985, 0.1991)

Calculated values
As for the crystal system: tetragonal. Its density of states at the Fermi level is 10.54 states/eV/f.u. The uncorrected formation energy is -1.5649 eV per atom.

=====

No. 2
A plane-wave DFT calculation with PBE was carried out for UPa2N5 after structural relaxation.

Cell: 9.9039 6.9270 6.1884 Å, 90.00 90.00 90.00°
Element x y z (fractional)
U (0.0024, 0.2500, 0.0316)
U (0.4976, 0.7500, 0.5316)
U (0.5024, 0.2500, 0.4684)
U (0.9976, 0.7500, 0.9684)
Pa (0.1723, 0.0025, 0.5055)
Pa (0.1723, 0.4975, 0.5055)
Pa (0.3277, 0.5025, 0.0055)
Pa (0.3277, 0.9975, 0.0055)
Pa (0.6723, 0.0025, 0.9945)
Pa (0.6723, 0.4975, 0.9945)
Pa (0.8277, 0.5025, 0.4945)
Pa (0.8277, 0.9975, 0.4945)
N (0.0055, 0.2500, 0.4671)
N (0.1001, 0.5155, 0.1473)
N (0.1001, 0.9845, 0.1473)
N (0.1957, 0.2500, 0.8427)
N (0.2063, 0.7500, 0.8276)
N (0.2937, 0.2500, 0.3276)
N (0.3043, 0.7500, 0.3427)
N (0.3999, 0.0155, 0.6473)
N (0.3999, 0.4845, 0.6473)
N (0.4945, 0.7500, 0.9671)
N (0.5055, 0.2500, 0.0329)
N (0.6001, 0.5155, 0.3527)
N (0.6001, 0.9845, 0.3527)
N (0.6957, 0.2500, 0.6573)
N (0.7063, 0.7500, 0.6724)
N (0.7937, 0.2500, 0.1724)
N (0.8043, 0.7500, 0.1573)
N (0.8999, 0.0155, 0.8527)
N (0.8999, 0.4845, 0.8527)
N (0.9945, 0.7500, 0.5329)

Calculated values
As for the crystal system: orthorhombic. Its density of states at the Fermi level is 5.43 states/eV/f.u. The uncorrected formation energy is -1.4775 eV per atom.

=====

No. 3
A plane-wave DFT calculation with PBE was carried out for UPaN4 after structural relaxation.

Cell: 3.7857 3.7857 5.3471 Å, 90.00 90.00 90.00°
Element x y z (fractional)
U (0.0000, 0.0000, 0.0000)
Pa (0.5000, 0.5000, 0.5000)
N (0.0000, 0.5000, 0.2409)
N (0.0000, 0.5000, 0.7591)
N (0.5000, 0.0000, 0.2409)
N (0.5000, 0.0000, 0.7591)

Calculated values
As for the crystal system: tetragonal. Its density of states at the Fermi level is 4.10 states/eV/f.u. The uncorrected formation energy is -1.3271 eV per atom.

=====

No. 4
A plane-wave DFT calculation with PBE was carried out for YU2PaN4 after structural relaxation.

Cell: 5.9993 3.4542 6.0020 Å, 90.00 109.41 90.00°
Element x y z (fractional)
Y (0.0000, 0.0000, 0.0000)
U (0.0000, 0.5000, 0.5000)
U (0.5000, 0.0000, 0.5000)
Pa (0.5000, 0.5000, 0.0000)
N (0.2462, 0.0000, 0.7455)
N (0.2541, 0.5000, 0.2593)
N (0.7459, 0.5000, 0.7407)
N (0.7538, 0.0000, 0.2545)

Calculated values
As for the crystal system: monoclinic. Its density of states at the Fermi level is 10.92 states/eV/f.u. The uncorrected formation energy is -1.4664 eV per atom.

=====

No. 5
A plane-wave DFT calculation with PBE was carried out for Y2UPaN4 after structural relaxation.

Cell: 6.0087 3.4633 6.0374 Å, 90.00 109.31 90.00°
Element x y z (fractional)
Y (0.0000, 0.0000, 0.0000)
Y (0.5000, 0.5000, 0.0000)
U (0.0000, 0.5000, 0.5000)
Pa (0.5000, 0.0000, 0.5000)
N (0.2415, 0.0000, 0.7359)
N (0.2501, 0.5000, 0.2628)
N (0.7499, 0.5000, 0.7372)
N (0.7585, 0.0000, 0.2641)

Calculated values
As for the crystal system: monoclinic. Its density of states at the Fermi level is 6.87 states/eV/f.u. The uncorrected formation energy is -1.5685 eV per atom.

=====

No. 6
A plane-wave DFT calculation with PBE was carried out for YUPa2N4 after structural relaxation.

Cell: 6.0109 3.4744 6.0256 Å, 90.00 109.34 90.00°
Element x y z (fractional)
Y (0.0000, 0.0000, 0.0000)
U (0.5000, 0.5000, 0.0000)
Pa (0.0000, 0.5000, 0.5000)
Pa (0.5000, 0.0000, 0.5000)
N (0.2539, 0.0000, 0.7556)
N (0.2562, 0.5000, 0.2496)
N (0.7438, 0.5000, 0.7504)
N (0.7461, 0.0000, 0.2444)

Calculated values
As for the crystal system: monoclinic. Its density of states at the Fermi level is 7.84 states/eV/f.u. The uncorrected formation energy is -1.5509 eV per atom.